[1]
The following is a PBE calculation of a relaxed CaAc2Ge4Pt3 crystal, from Alexandria via LeMat-Bulk.

a = 4.4547 Å, b = 4.4547 Å, c = 11.2632 Å
α = 90.00°, β = 90.00°, γ = 90.00°
Positions (direct):
Ca: 0.5000 0.5000 0.5000
Ac: 0.5000 0.0000 0.2341
Ac: 0.0000 0.5000 0.7659
Ge: 0.5000 0.5000 0.0000
Ge: 0.0000 0.0000 0.0000
Ge: 0.5000 0.0000 0.6604
Ge: 0.0000 0.5000 0.3396
Pt: 0.0000 0.0000 0.5000
Pt: 0.5000 0.0000 0.8856
Pt: 0.0000 0.5000 0.1144

Summary:
Theoretical density, g cm⁻³: 10.18
D(E_F), states/eV per atom: 0.570
E_form, eV/atom: -0.8551


[2]
The following is a PBE calculation of a relaxed Cs2RbErI6 crystal, from Alexandria via LeMat-Bulk.

a = 8.6963 Å, b = 10.0458 Å, c = 12.9965 Å
α = 90.00°, β = 90.00°, γ = 90.00°
Positions (direct):
Cs: 0.5000 0.8198 0.2076
Cs: 0.0000 0.1802 0.7076
Cs: 0.5000 0.8198 0.7924
Cs: 0.0000 0.1802 0.2924
Rb: 0.0000 0.6947 0.5000
Rb: 0.5000 0.3053 0.0000
Er: 0.5000 0.2021 0.5000
Er: 0.0000 0.7979 0.0000
I: 0.5000 0.2027 0.2679
I: 0.5000 0.2027 0.7321
I: 0.0000 0.7973 0.2321
I: 0.0000 0.7973 0.7679
I: 0.2624 0.9810 0.5000
I: 0.7376 0.9810 0.5000
I: 0.2477 0.4051 0.5000
I: 0.7523 0.4051 0.5000
I: 0.7477 0.5949 0.0000
I: 0.2523 0.5949 0.0000
I: 0.2376 0.0190 0.0000
I: 0.7624 0.0190 0.0000

Summary:
Theoretical density, g cm⁻³: 3.74
D(E_F), states/eV per atom: 0.000
ΔE_f (raw), meV per atom: -1482


[3]
The following is a PBE calculation of a relaxed RuSeOF2 crystal, from Alexandria via LeMat-Bulk.

a = 4.5862 Å, b = 4.5862 Å, c = 3.7356 Å
α = 90.00°, β = 90.00°, γ = 90.00°
Last column: magnetic moment on the atom in μB.
Positions (direct):
Ru: 0.5000 0.5000 0.5000  2.77
O: 0.0000 0.0000 0.5000  0.01
Se: 0.0000 0.0000 0.0000  0.01
F: 0.0000 0.5000 0.0000  0.02
F: 0.5000 0.0000 0.0000  0.02

Summary:
Theoretical density, g cm⁻³: 4.95
D(E_F), states/eV per atom: 0.553
ΔE_f (raw), meV per atom: 103
Energy above the most stable polymorph in this dataset, meV/atom: 575.2


[4]
The following is a PBE calculation of a relaxed ScTlTeO6 crystal, from Alexandria via LeMat-Bulk.

a = 5.3995 Å, b = 5.3995 Å, c = 9.4087 Å
α = 90.00°, β = 90.00°, γ = 120.00°
Positions (direct):
Sc: 0.6667 0.3333 0.2500
Sc: 0.3333 0.6667 0.7500
Tl: 0.0000 0.0000 0.0000
Tl: 0.0000 0.0000 0.5000
Te: 0.3333 0.6667 0.2500
Te: 0.6667 0.3333 0.7500
O: 0.6278 0.6500 0.1361
O: 0.0222 0.3722 0.1361
O: 0.3722 0.0222 0.6361
O: 0.9778 0.6278 0.8639
O: 0.3500 0.3722 0.3639
O: 0.0222 0.6500 0.3639
O: 0.6500 0.0222 0.8639
O: 0.6278 0.9778 0.3639
O: 0.9778 0.3500 0.6361
O: 0.3500 0.9778 0.1361
O: 0.6500 0.6278 0.6361
O: 0.3722 0.3500 0.8639

Summary:
Theoretical density, g cm⁻³: 6.61
ΔE_f (raw), meV per atom: -1593